A plane-wave DFT calculation with GGA-PBE was carried out for crystalline Cs2TlPdI6 at its relaxed geometry.

POSCAR file:
```
Cs2TlPdI6
1.0
-1.582 -8.180 1.327
6.456 -5.283 1.261
1.227 -3.227 7.698
I Cs Tl Pd
6 2 1 1
Cartesian
0.468 -8.238 3.224
5.635 -8.460 7.068
3.876 -11.140 3.762
2.228 -5.558 6.528
4.836 -6.811 2.948
1.265 -9.888 7.343
4.563 -12.484 7.694
1.539 -4.210 2.594
3.051 -8.349 5.145
0.001 -0.003 0.002
```

Properties
Its space group is R-3. The calculation puts the electronic total energy at -2.659 eV per atom.